1.
The following is a DFT calculation (PBE) of an optimized crystal structure of Ho2Sc3Fe2.

Cell lengths 11.4728, 3.3566, 9.7729 Å; angles 90.00, 123.73, 90.00 degrees
With the nearest neighbours (Å) after each atom.
Fractional positions:
Ho1 0.0867 0.0000 0.3811  1 Fe 2.82
Ho2 0.4133 0.5000 0.6189  1 Fe 2.82
Ho3 0.5867 0.5000 0.3811  1 Fe 2.82
Ho4 0.9133 0.0000 0.6189  1 Fe 2.82
Sc1 0.0000 0.5000 0.0000  4 Fe 2.90
Sc2 0.2044 0.5000 0.7410  3 Fe 2.67-2.71
Sc3 0.2956 0.0000 0.2590  3 Fe 2.67-2.71
Sc4 0.5000 0.0000 0.0000  4 Fe 2.90
Sc5 0.7044 0.0000 0.7410  3 Fe 2.67-2.71
Sc6 0.7956 0.5000 0.2590  3 Fe 2.67-2.71
Fe1 0.1680 0.0000 0.9322  2 Fe 2.31
Fe2 0.3320 0.5000 0.0678  2 Fe 2.31
Fe3 0.6680 0.5000 0.9322  2 Fe 2.31
Fe4 0.8320 0.0000 0.0678  2 Fe 2.31

Total DFT energy (no corrections) in eV per atom: -6.3945
SG: C2/m

---

2.
The following is a DFT calculation (PBE) of an optimized crystal structure of Ho3ScFe8.

Cell lengths 8.7630, 8.7630, 8.7630 Å; angles 33.59, 33.59, 33.59 degrees
With the nearest neighbours (Å) after each atom.
Fractional positions:
Ho1 0.0000 0.0000 0.0000  12 Fe 2.91-2.97, 3 Sc 3.09, 1 Ho 3.12
Ho2 0.1259 0.1259 0.1259  12 Fe 2.97-3.00, 4 Ho 3.11-3.12
Ho3 0.5026 0.5026 0.5026  12 Fe 2.97-3.03, 1 Sc 3.07, 3 Ho 3.11
Sc1 0.6263 0.6263 0.6263  12 Fe 2.93-2.97, 4 Ho 3.07-3.09
Fe1 0.0609 0.5631 0.5631  6 Fe 2.52-2.56
Fe2 0.0647 0.0647 0.5654  6 Fe 2.50-2.55
Fe3 0.0647 0.5654 0.0647  6 Fe 2.50-2.55
Fe4 0.3133 0.3133 0.3133  6 Fe 2.50-2.52
Fe5 0.5631 0.0609 0.5631  6 Fe 2.52-2.56
Fe6 0.5631 0.5631 0.0609  6 Fe 2.52-2.56
Fe7 0.5654 0.0647 0.0647  6 Fe 2.50-2.55
Fe8 0.8139 0.8139 0.8139  6 Fe 2.55-2.56

Total DFT energy (no corrections) in eV per atom: -7.4506
SG: R3m

---

3.
The following is a DFT calculation (PBE) of an optimized crystal structure of Ho2ScFe.

Cell lengths 3.3439, 3.3439, 30.7251 Å; angles 90.00, 90.00, 120.00 degrees
With the nearest neighbours (Å) after each atom.
Fractional positions:
Ho1 0.0000 0.0000 0.1042  3 Fe 2.72
Ho2 0.0000 0.0000 0.8958  3 Fe 2.72
Ho3 0.3333 0.6667 0.5624  3 Fe 2.72
Ho4 0.3333 0.6667 0.7709  3 Fe 2.72
Ho5 0.6667 0.3333 0.2291  3 Fe 2.72
Ho6 0.6667 0.3333 0.4376  3 Fe 2.72
Sc1 0.0000 0.0000 0.0000  2 Ho 3.20, 6 Sc 3.34
Sc2 0.3333 0.6667 0.6667  2 Ho 3.20, 6 Sc 3.34
Sc3 0.6667 0.3333 0.3333  2 Ho 3.20, 6 Sc 3.34
Fe1 0.0000 0.0000 0.5000  6 Ho 2.72
Fe2 0.3333 0.6667 0.1667  6 Ho 2.72
Fe3 0.6667 0.3333 0.8333  6 Ho 2.72

Total DFT energy (no corrections) in eV per atom: -5.6283
Relative energy among the computed polymorphs in eV per atom: 0.4058
SG: R-3m

---

4.
The following is a DFT calculation (PBE) of an optimized crystal structure of HoSc2Fe9.

Cell lengths 8.4084, 8.4084, 8.4084 Å; angles 34.30, 34.30, 34.30 degrees
With the nearest neighbours (Å) after each atom.
Fractional positions:
Ho1 0.0000 0.0000 0.0000  18 Fe 2.86-3.19
Sc1 0.1431 0.1431 0.1431  12 Fe 2.85-2.92, 3 Sc 3.07
Sc2 0.8569 0.8569 0.8569  12 Fe 2.85-2.92, 3 Sc 3.07
Fe1 0.0820 0.5855 0.5855  7 Fe 2.43-2.50
Fe2 0.3329 0.3329 0.3329  6 Fe 2.45-2.47
Fe3 0.4145 0.4145 0.9180  7 Fe 2.43-2.50
Fe4 0.4145 0.9180 0.4145  7 Fe 2.43-2.50
Fe5 0.5000 0.5000 0.5000  6 Fe 2.43
Fe6 0.5855 0.0820 0.5855  7 Fe 2.43-2.50
Fe7 0.5855 0.5855 0.0820  7 Fe 2.43-2.50
Fe8 0.6671 0.6671 0.6671  6 Fe 2.45-2.47
Fe9 0.9180 0.4145 0.4145  7 Fe 2.43-2.50

Total DFT energy (no corrections) in eV per atom: -7.9541
SG: R-3m

---

5.
The following is a DFT calculation (PBE) of an optimized crystal structure of Ho2ScFe.

Cell lengths 6.8872, 8.9093, 6.0849 Å; angles 90.00, 90.00, 90.00 degrees
With the nearest neighbours (Å) after each atom.
Fractional positions:
Ho1 0.1767 0.0646 0.1736  3 Fe 2.78-3.06
Ho2 0.1767 0.4354 0.1736  3 Fe 2.78-3.06
Ho3 0.3233 0.5646 0.6736  3 Fe 2.78-3.06
Ho4 0.3233 0.9354 0.6736  3 Fe 2.78-3.06
Ho5 0.6767 0.0646 0.3264  3 Fe 2.78-3.06
Ho6 0.6767 0.4354 0.3264  3 Fe 2.78-3.06
Ho7 0.8233 0.5646 0.8264  3 Fe 2.78-3.06
Ho8 0.8233 0.9354 0.8264  3 Fe 2.78-3.06
Sc1 0.0498 0.2500 0.6409  2 Fe 2.49-2.54
Sc2 0.4502 0.7500 0.1409  2 Fe 2.49-2.54
Sc3 0.5498 0.2500 0.8591  2 Fe 2.49-2.54
Sc4 0.9502 0.7500 0.3591  2 Fe 2.49-2.54
Fe1 0.1162 0.7500 0.9858  2 Sc 2.49-2.54, 2 Ho 2.78
Fe2 0.3838 0.2500 0.4858  2 Sc 2.49-2.54, 2 Ho 2.78
Fe3 0.6162 0.7500 0.5142  2 Sc 2.49-2.54, 2 Ho 2.78
Fe4 0.8838 0.2500 0.0142  2 Sc 2.49-2.54, 2 Ho 2.78

Total DFT energy (no corrections) in eV per atom: -6.0341
Relative energy among the computed polymorphs in eV per atom: 0.0000
SG: Pnma

---

6.
The following is a DFT calculation (PBE) of an optimized crystal structure of HoSc3Fe8.

Cell lengths 8.5967, 8.5967, 8.5967 Å; angles 33.58, 33.58, 33.58 degrees
With the nearest neighbours (Å) after each atom.
Fractional positions:
Ho1 0.0000 0.0000 0.0000  12 Fe 2.91-2.94, 4 Sc 3.06-3.07
Sc1 0.1262 0.1262 0.1262  12 Fe 2.85-2.91, 3 Sc 3.03, 1 Ho 3.07
Sc2 0.4997 0.4997 0.4997  12 Fe 2.88-2.91, 4 Sc 3.00-3.03
Sc3 0.6230 0.6230 0.6230  12 Fe 2.90-2.98, 1 Sc 3.00, 3 Ho 3.06
Fe1 0.0617 0.0617 0.5596  6 Fe 2.46-2.50
Fe2 0.0617 0.5595 0.0617  6 Fe 2.46-2.50
Fe3 0.0646 0.5634 0.5634  6 Fe 2.46-2.52
Fe4 0.3120 0.3120 0.3120  6 Fe 2.50-2.52
Fe5 0.5595 0.0617 0.0617  6 Fe 2.46-2.50
Fe6 0.5634 0.0646 0.5634  6 Fe 2.46-2.52
Fe7 0.5634 0.5634 0.0646  6 Fe 2.46-2.52
Fe8 0.8125 0.8125 0.8125  6 Fe 2.46

Total DFT energy (no corrections) in eV per atom: -7.8291
SG: R3m

---

7.
The following is a DFT calculation (PBE) of an optimized crystal structure of HoSc2Fe.

Cell lengths 3.1769, 3.1769, 8.4551 Å; angles 90.00, 90.00, 90.00 degrees
With the nearest neighbours (Å) after each atom.
Fractional positions:
Ho1 0.0000 0.0000 0.0000  4 Ho 3.18, 8 Sc 3.54
Sc1 0.5000 0.5000 0.3241  4 Fe 2.69, 1 Sc 2.97
Sc2 0.5000 0.5000 0.6759  4 Fe 2.69, 1 Sc 2.97
Fe1 0.0000 0.0000 0.5000  8 Sc 2.69

Total DFT energy (no corrections) in eV per atom: -6.4602
Relative energy among the computed polymorphs in eV per atom: 0.0273
SG: P4/mmm

---

8.
The following is a DFT calculation (PBE) of an optimized crystal structure of HoScFe.

Cell lengths 3.2142, 3.2142, 12.1471 Å; angles 90.00, 90.00, 90.00 degrees
With the nearest neighbours (Å) after each atom.
Fractional positions:
Ho1 0.0000 0.0000 0.0000  4 Fe 2.82, 1 Sc 3.10
Ho2 0.5000 0.5000 0.5000  4 Fe 2.82, 1 Sc 3.10
Sc1 0.0000 0.0000 0.2552  4 Fe 2.68
Sc2 0.5000 0.5000 0.7552  4 Fe 2.68
Fe1 0.0000 0.0000 0.6380  4 Sc 2.68, 4 Ho 2.82
Fe2 0.5000 0.5000 0.1380  4 Sc 2.68, 4 Ho 2.82

Total DFT energy (no corrections) in eV per atom: -6.4876
Relative energy among the computed polymorphs in eV per atom: 0.0000
SG: I4mm

---

Q: Among the records above, which one has the highest total DFT energy (no corrections)?
A: number 3